First-principles (GGA-PBE) data for crystalline CaPr2Th at its relaxed geometry, as listed in Alexandria via LeMat-Bulk.

The structure in CIF format:
```
data_CaPr2Th
_symmetry_space_group_name_H-M 'P 1'
_symmetry_Int_Tables_number 1
_cell_length_a 3.682
_cell_length_b 3.682
_cell_length_c 24.789
_cell_angle_alpha 90.00
_cell_angle_beta 90.00
_cell_angle_gamma 120.00
loop_
_symmetry_equiv_pos_as_xyz
'x,y,z'
loop_
_atom_site_label
_atom_site_type_symbol
_atom_site_fract_x
_atom_site_fract_y
_atom_site_fract_z
Ca1 Ca 0.333 0.667 0.750
Ca2 Ca 0.667 0.333 0.250
Pr1 Pr 0.333 0.667 0.384
Pr2 Pr 0.667 0.333 0.616
Pr3 Pr 0.667 0.333 0.884
Pr4 Pr 0.333 0.667 0.116
Th1 Th 0.000 0.000 0.500
Th2 Th 0.000 0.000 0.000
```

Summary:
crystal system: hexagonal
formation energy: 46 meV per atom
space-group type: P6_3/mmc, No. 194
density: 6.3 Mg/m³
raw total energy: -4.700 eV per atom
total magnetization: 0.00 μB/f.u.

=====

First-principles (GGA-PBE) data for crystalline CaPrTh at its relaxed geometry, as listed in Alexandria via LeMat-Bulk.

The structure in CIF format:
```
data_CaPrTh
_symmetry_space_group_name_H-M 'P 1'
_symmetry_Int_Tables_number 1
_cell_length_a 3.670
_cell_length_b 3.670
_cell_length_c 9.251
_cell_angle_alpha 90.00
_cell_angle_beta 90.00
_cell_angle_gamma 120.00
loop_
_symmetry_equiv_pos_as_xyz
'x,y,z'
loop_
_atom_site_label
_atom_site_type_symbol
_atom_site_fract_x
_atom_site_fract_y
_atom_site_fract_z
Pr1 Pr 0.333 0.667 0.651
Ca1 Ca 0.000 0.000 0.008
Th1 Th 0.667 0.333 0.341
```

Summary:
crystal system: trigonal
formation energy: 101 meV per atom
space-group type: P3m1, No. 156
density: 6.4 Mg/m³
raw total energy: -4.633 eV per atom
total magnetization: 0.00 μB/f.u.

=====

First-principles (GGA-PBE) data for crystalline CaPr2Th at its relaxed geometry, as listed in Alexandria via LeMat-Bulk.

The structure in CIF format:
```
data_CaPr2Th
_symmetry_space_group_name_H-M 'P 1'
_symmetry_Int_Tables_number 1
_cell_length_a 3.689
_cell_length_b 3.689
_cell_length_c 12.467
_cell_angle_alpha 81.49
_cell_angle_beta 81.49
_cell_angle_gamma 60.00
loop_
_symmetry_equiv_pos_as_xyz
'x,y,z'
loop_
_atom_site_label
_atom_site_type_symbol
_atom_site_fract_x
_atom_site_fract_y
_atom_site_fract_z
Ca1 Ca 0.501 0.501 0.498
Pr1 Pr 0.077 0.077 0.768
Pr2 Pr 0.256 0.256 0.233
Th1 Th 0.666 0.666 0.001
```

Summary:
crystal system: trigonal
formation energy: 36 meV per atom
space-group type: R3m, No. 160
density: 6.4 Mg/m³
raw total energy: -4.709 eV per atom
total magnetization: 0.00 μB/f.u.

=====

First-principles (GGA-PBE) data for crystalline CaPr2Th at its relaxed geometry, as listed in Alexandria via LeMat-Bulk.

The structure in CIF format:
```
data_CaPr2Th
_symmetry_space_group_name_H-M 'P 1'
_symmetry_Int_Tables_number 1
_cell_length_a 3.636
_cell_length_b 3.636
_cell_length_c 12.971
_cell_angle_alpha 81.94
_cell_angle_beta 81.94
_cell_angle_gamma 60.00
loop_
_symmetry_equiv_pos_as_xyz
'x,y,z'
loop_
_atom_site_label
_atom_site_type_symbol
_atom_site_fract_x
_atom_site_fract_y
_atom_site_fract_z
Pr1 Pr 0.092 0.092 0.724
Pr2 Pr 0.908 0.908 0.276
Ca1 Ca 0.000 0.000 0.000
Th1 Th 0.500 0.500 0.500
```

Summary:
crystal system: trigonal
formation energy: 111 meV per atom
space-group type: R-3m, No. 166
density: 6.3 Mg/m³
raw total energy: -4.634 eV per atom
total magnetization: 0.00 μB/f.u.

=====

First-principles (GGA-PBE) data for crystalline CaPrTh2 at its relaxed geometry, as listed in Alexandria via LeMat-Bulk.

The structure in CIF format:
```
data_CaPrTh2
_symmetry_space_group_name_H-M 'P 1'
_symmetry_Int_Tables_number 1
_cell_length_a 5.382
_cell_length_b 5.038
_cell_length_c 5.038
_cell_angle_alpha 90.00
_cell_angle_beta 90.00
_cell_angle_gamma 90.00
loop_
_symmetry_equiv_pos_as_xyz
'x,y,z'
loop_
_atom_site_label
_atom_site_type_symbol
_atom_site_fract_x
_atom_site_fract_y
_atom_site_fract_z
Pr1 Pr 0.500 0.000 0.000
Ca1 Ca 0.500 0.500 0.500
Th1 Th 0.000 0.000 0.500
Th2 Th 0.000 0.500 0.000
```

Summary:
crystal system: tetragonal
formation energy: 185 meV per atom
space-group type: P4/mmm, No. 123
density: 7.8 Mg/m³
raw total energy: -5.220 eV per atom
total magnetization: 0.00 μB/f.u.

=====

First-principles (GGA-PBE) data for crystalline CaPr4Th at its relaxed geometry, as listed in Alexandria via LeMat-Bulk.

The structure in CIF format:
```
data_CaPr4Th
_symmetry_space_group_name_H-M 'P 1'
_symmetry_Int_Tables_number 1
_cell_length_a 3.683
_cell_length_b 9.836
_cell_length_c 12.325
_cell_angle_alpha 148.66
_cell_angle_beta 90.20
_cell_angle_gamma 100.70
loop_
_symmetry_equiv_pos_as_xyz
'x,y,z'
loop_
_atom_site_label
_atom_site_type_symbol
_atom_site_fract_x
_atom_site_fract_y
_atom_site_fract_z
Ca1 Ca 0.500 0.000 0.500
Pr1 Pr 0.822 0.645 0.489
Pr2 Pr 0.178 0.355 0.511
Pr3 Pr 0.345 0.689 0.007
Pr4 Pr 0.655 0.311 0.993
Th1 Th 0.000 0.000 0.000
```

Summary:
crystal system: triclinic
formation energy: 50 meV per atom
space-group type: P-1, No. 2
density: 6.4 Mg/m³
raw total energy: -4.707 eV per atom
total magnetization: 0.00 μB/f.u.

=====

Q: Look up the density of the sixth one.
A: 6.4 Mg/m³

=====

Q: Among the records above, which one has the highest density?
A: CaPrTh2